A plane-wave DFT calculation with PBE was carried out for a relaxed Cd2IrPb crystal.

Properties
V   22.203 Å³/atom
E_form   0.18 eV per atom
Raw total energy   -13.7 eV per cell
M_tot   0.00 μB/f.u.

Cell: 3.171 3.171 8.832 Å, 90.00 90.00 90.00°
Space group P4/mmm (No. 123)
Inequivalent atoms, fractional coordinates:
1 Cd 0.000 0.000 0.194 [2 per cell]
2 Ir 0.500 0.500 0.000 [1 per cell]
3 Pb 0.500 0.500 0.500 [1 per cell]

---

A plane-wave DFT calculation with PBE was carried out for a relaxed CdIrPb2 crystal.

Properties
V   23.217 Å³/atom
E_form   0.48 eV per atom
Raw total energy   -15.3 eV per cell
M_tot   0.00 μB/f.u.

Cell: 4.921 3.389 6.020 Å, 90.00 112.36 90.00°
Space group P2/m (No. 10)
Inequivalent atoms, fractional coordinates:
1 Cd 0.000 0.000 0.000 [1 per cell]
2 Ir 0.000 0.500 0.500 [1 per cell]
3 Pb 0.500 0.000 0.500 [1 per cell]
4 Pb 0.500 0.500 0.000 [1 per cell]

---

A plane-wave DFT calculation with PBE was carried out for a relaxed CdIr2Pb2 crystal.

Properties
V   20.789 Å³/atom
E_form   0.31 eV per atom
Raw total energy   -49.0 eV per cell
M_tot   0.00 μB/f.u.

Cell: 7.405 7.405 3.792 Å, 90.00 90.00 90.00°
Space group P4/mbm (No. 127)
Inequivalent atoms, fractional coordinates:
1 Cd 0.000 0.000 0.000 [2 per cell]
2 Ir 0.137 0.363 0.000 [4 per cell]
3 Pb 0.161 0.661 0.500 [4 per cell]

---

A plane-wave DFT calculation with PBE was carried out for a relaxed CdIrPb2 crystal.

Properties
V   26.646 Å³/atom
E_form   0.17 eV per atom
Raw total energy   -33.0 eV per cell
M_tot   0.00 μB/f.u.

Cell: 10.115 3.212 7.044 Å, 90.00 111.31 90.00°
Space group Cm (No. 8)
Inequivalent atoms, fractional coordinates:
1 Cd 0.000 0.000 0.000 [2 per cell]
2 Ir 0.228 0.500 0.997 [2 per cell]
3 Pb 0.172 0.000 0.652 [2 per cell]
4 Pb 0.347 0.000 0.345 [2 per cell]

---

A plane-wave DFT calculation with PBE was carried out for a relaxed CdIr2Pb crystal.

Properties
V   18.077 Å³/atom
E_form   0.39 eV per atom
Raw total energy   -83.1 eV per cell
M_tot   0.00 μB/f.u.

Cell: 6.613 6.613 6.613 Å, 90.00 90.00 90.00°
Space group Fm-3m (No. 225)
Inequivalent atoms, fractional coordinates:
1 Cd 0.000 0.000 0.000 [4 per cell]
2 Ir 0.250 0.250 0.250 [8 per cell]
3 Pb 0.000 0.000 0.500 [4 per cell]

---

A plane-wave DFT calculation with PBE was carried out for a relaxed CdIrPb2 crystal.

Properties
V   22.904 Å³/atom
E_form   0.44 eV per atom
Raw total energy   -30.9 eV per cell
M_tot   0.00 μB/f.u.

Cell: 4.457 4.457 9.223 Å, 90.00 90.00 90.00°
Space group I-4m2 (No. 119)
Inequivalent atoms, fractional coordinates:
1 Cd 0.000 0.000 0.000 [2 per cell]
2 Ir 0.000 0.500 0.750 [2 per cell]
3 Pb 0.000 0.000 0.500 [2 per cell]
4 Pb 0.000 0.500 0.250 [2 per cell]

---

A plane-wave DFT calculation with PBE was carried out for a relaxed Cd2IrPb crystal.

Properties
V   20.711 Å³/atom
E_form   0.32 eV per atom
Raw total energy   -13.1 eV per cell
M_tot   0.00 μB/f.u.

Cell: 4.202 4.202 4.692 Å, 90.00 90.00 90.00°
Space group P4/mmm (No. 123)
Inequivalent atoms, fractional coordinates:
1 Cd 0.000 0.500 0.000 [2 per cell]
2 Ir 0.000 0.000 0.500 [1 per cell]
3 Pb 0.500 0.500 0.500 [1 per cell]

---

A plane-wave DFT calculation with PBE was carried out for a relaxed CdIrPb crystal.

Properties
V   21.642 Å³/atom
E_form   0.35 eV per atom
Raw total energy   -12.4 eV per cell
M_tot   0.00 μB/f.u.

Cell: 3.2348 3.2348 7.1646 Å, 90.00 90.00 120.00°
Space group P3m1 (No. 156)
Inequivalent atoms, fractional coordinates:
1 Cd 0.0000 0.0000 0.0000 [1 per cell]
2 Ir 0.3333 0.6667 0.2936 [1 per cell]
3 Pb 0.6667 0.3333 0.5915 [1 per cell]

---

A plane-wave DFT calculation with PBE was carried out for a relaxed Cd4IrPb crystal.

Properties
V   21.478 Å³/atom
E_form   0.34 eV per atom
Raw total energy   -56.8 eV per cell
M_tot   0.00 μB/f.u.

Cell: 8.018 8.018 8.018 Å, 90.00 90.00 90.00°
Space group F-43m (No. 216)
Inequivalent atoms, fractional coordinates:
1 Cd 0.124 0.124 0.124 [16 per cell]
2 Ir 0.250 0.250 0.750 [4 per cell]
3 Pb 0.000 0.000 0.500 [4 per cell]

---

A plane-wave DFT calculation with PBE was carried out for a relaxed CdIr2Pb crystal.

Properties
V   18.010 Å³/atom
E_form   0.40 eV per atom
Raw total energy   -41.5 eV per cell
M_tot   0.00 μB/f.u.

Cell: 6.241 7.348 3.142 Å, 90.00 90.00 90.00°
Space group Cmmm (No. 65)
Inequivalent atoms, fractional coordinates:
1 Cd 0.000 0.000 0.000 [2 per cell]
2 Ir 0.250 0.250 0.500 [4 per cell]
3 Pb 0.000 0.500 0.000 [2 per cell]

---

A plane-wave DFT calculation with PBE was carried out for a relaxed Cd2IrPb crystal.

Properties
V   21.369 Å³/atom
E_form   0.24 eV per atom
Raw total energy   -13.5 eV per cell
M_tot   0.00 μB/f.u.

Cell: 3.418 4.433 5.881 Å, 90.00 106.43 90.00°
Space group Pm (No. 6)
Inequivalent atoms, fractional coordinates:
1 Cd 0.000 0.000 0.000 [1 per cell]
2 Cd 0.417 0.500 0.831 [1 per cell]
3 Ir 0.153 0.500 0.299 [1 per cell]
4 Pb 0.734 0.000 0.469 [1 per cell]

---

A plane-wave DFT calculation with PBE was carried out for a relaxed CdIrPb2 crystal.

Properties
V   24.215 Å³/atom
E_form   0.27 eV per atom
Raw total energy   -48.3 eV per cell
M_tot   0.00 μB/f.u.

Cell: 3.2766 3.2766 31.2527 Å, 90.00 90.00 120.00°
Space group R3m (No. 160, hexagonal axes)
Inequivalent atoms, fractional coordinates:
1 Cd 0.0000 0.0000 0.0000 [3 per cell]
2 Ir 0.0000 0.0000 0.7337 [3 per cell]
3 Pb 0.0000 0.0000 0.2434 [3 per cell]
4 Pb 0.0000 0.0000 0.4685 [3 per cell]